La2MgInH | PBE | relaxed

Cell lengths 5.0068, 5.0068, 4.7712 Å; angles 90.00, 90.00, 90.00 degrees
Space group P4/mmm (No. 123)
Inequivalent atoms, fractional coordinates:
La1 0.0000 0.5000 0.0000
Mg1 0.0000 0.0000 0.5000
In1 0.5000 0.5000 0.5000
H1 0.0000 0.0000 0.0000

## Properties
DOS at the Fermi energy = 3.42 states/eV/f.u.
ρ = 5.802 g/cm3
VASP energy = -3.89 eV per atom